[1]
Material: Ba3SCl
Method: DFT, PBEsol
State: optimized geometry

a = 5.7493 Å, b = 5.7493 Å, c = 5.7493 Å
α = 90.00°, β = 90.00°, γ = 90.00°
Closest atoms and distances in Å follow each position.
Space group Pm-3m (No. 221)
Inequivalent atoms, fractional coordinates:
Ba (0.0000, 0.0000, 0.5000)  2 Cl 2.87
S (0.5000, 0.5000, 0.5000)  12 Ba 4.07
Cl (0.0000, 0.0000, 0.0000)  6 Ba 2.87

Computed properties:
The magnetization comes out at 0.00 μB per formula unit. The value obtained for the formation energy without anion corrections is -0.8057 eV per atom. As for the density of states at the Fermi level: 4.81 states/eV per cell. The total energy comes out at -3.373 eV/atom. Its crystal system is cubic. For the calculated density, the calculation gives 4190 kg/m3.

[2]
Material: ScAgOs2
Method: DFT, PBEsol
State: optimized geometry

a = 2.7086 Å, b = 2.7086 Å, c = 8.5422 Å
α = 90.00°, β = 90.00°, γ = 90.00°
Closest atoms and distances in Å follow each position.
Space group P4/mmm (No. 123)
Inequivalent atoms, fractional coordinates:
Sc (0.0000, 0.0000, 0.0000)  4 Sc 2.71, 8 Os 2.87
Ag (0.0000, 0.0000, 0.5000)  4 Ag 2.71, 8 Os 2.87
Os (0.5000, 0.5000, 0.2495)  4 Os 2.71, 4 Sc 2.87, 4 Ag 2.87

Computed properties:
The magnetization comes out at 0.00 μB per formula unit. As for the density of states at the Fermi level: 4.75 states/eV per cell. The total energy comes out at -8.164 eV/atom. Its crystal system is tetragonal. For the calculated density, the calculation gives 14130 kg/m3. For the calculated formation energy, the calculation gives 0.42 eV/atom. The calculation puts the excess energy over the best structure of this formula in the dataset at 253 meV/atom.

[3]
Material: Cu3Pt
Method: DFT, PBEsol
State: optimized geometry

a = 5.8247 Å, b = 5.8247 Å, c = 5.8247 Å
α = 90.00°, β = 90.00°, γ = 90.00°
Closest atoms and distances in Å follow each position.
Space group Fm-3m (No. 225)
Inequivalent atoms, fractional coordinates:
Cu (0.0000, 0.0000, 0.0000)  8 Cu 2.52
Cu (0.2500, 0.2500, 0.2500)  4 Cu 2.52, 4 Pt 2.52
Pt (0.0000, 0.0000, 0.5000)  8 Cu 2.52

Computed properties:
The magnetization comes out at 0.00 μB per formula unit. As for the density of states at the Fermi level: 5.19 states/eV per cell. The total energy comes out at -5.061 eV/atom. Its crystal system is cubic. For the calculated density, the calculation gives 12964 kg/m3. For the calculated formation energy, the calculation gives -0.07 eV/atom.

[4]
Material: Tl2Sb
Method: DFT, PBEsol
State: optimized geometry

a = 5.5014 Å, b = 5.5014 Å, c = 3.2216 Å
α = 90.00°, β = 90.00°, γ = 120.00°
Closest atoms and distances in Å follow each position.
Space group P-3m1 (No. 164)
Inequivalent atoms, fractional coordinates:
Tl (0.3333, 0.6667, 0.2112)  5 Tl 3.22-3.46, 3 Sb 3.31
Sb (0.0000, 0.0000, 0.5000)  2 Sb 3.22, 6 Tl 3.31

Computed properties:
The magnetization comes out at 0.00 μB per formula unit. The value obtained for the formation energy without anion corrections is 0.0159 eV per atom. As for the density of states at the Fermi level: 1.31 states/eV per cell. The total energy comes out at -3.257 eV/atom. Its crystal system is trigonal. For the calculated density, the calculation gives 10433 kg/m3. The calculation puts the excess energy over the best structure of this formula in the dataset at 9 meV/atom.

[5]
Material: Zr2Co2Ni
Method: DFT, PBEsol
State: optimized geometry

a = 6.4013 Å, b = 6.4013 Å, c = 3.5657 Å
α = 90.00°, β = 90.00°, γ = 90.00°
Closest atoms and distances in Å follow each position.
Space group P4/mbm (No. 127)
Inequivalent atoms, fractional coordinates:
Zr (0.1801, 0.3199, 0.0000)  6 Co 2.50-2.67
Co (0.1262, 0.6262, 0.5000)  1 Co 2.29, 2 Zr 2.50, 2 Ni 2.53
Ni (0.0000, 0.0000, 0.5000)  4 Co 2.53

Computed properties:
The magnetization comes out at 0.00 μB per formula unit. As for the density of states at the Fermi level: 10.41 states/eV per cell. The total energy comes out at -8.260 eV/atom. Its crystal system is tetragonal. For the calculated density, the calculation gives 8160 kg/m3. For the calculated formation energy, the calculation gives -0.30 eV/atom.

[6]
Material: KGa2Sn2
Method: DFT, PBEsol
State: optimized geometry

a = 4.9094 Å, b = 4.9094 Å, c = 11.0510 Å
α = 90.00°, β = 90.00°, γ = 90.00°
Closest atoms and distances in Å follow each position.
Space group I4/mmm (No. 139)
Inequivalent atoms, fractional coordinates:
K (0.0000, 0.0000, 0.0000)  8 Ga 3.70, 10 Sn 3.76-4.09
Ga (0.0000, 0.5000, 0.2500)  4 Sn 2.79
Sn (0.0000, 0.0000, 0.3702)  4 Ga 2.79, 1 Sn 2.87

Computed properties:
The magnetization comes out at 0.00 μB per formula unit. As for the density of states at the Fermi level: 2.30 states/eV per cell. The total energy comes out at -3.434 eV/atom. Its crystal system is tetragonal. For the calculated density, the calculation gives 5186 kg/m3. For the calculated formation energy, the calculation gives -0.17 eV/atom.

[7]
Material: TcAs2Os
Method: DFT, PBEsol
State: optimized geometry

a = 2.8696 Å, b = 3.9460 Å, c = 5.1857 Å
α = 90.00°, β = 90.00°, γ = 90.00°
Closest atoms and distances in Å follow each position.
Space group Pmm2 (No. 25)
Inequivalent atoms, fractional coordinates:
Tc (0.0000, 0.0000, 0.0000)  6 As 2.51-2.67
As (0.0000, 0.0000, 0.5156)  2 Tc 2.51-2.67, 4 Os 2.59
As (0.5000, 0.5000, 0.1672)  2 Os 2.51-2.67, 4 Tc 2.59
Os (0.5000, 0.5000, 0.6825)  6 As 2.51-2.67

Computed properties:
The magnetization comes out at 0.00 μB per formula unit. As for the density of states at the Fermi level: 2.07 states/eV per cell. The total energy comes out at -8.332 eV/atom. Its crystal system is orthorhombic. For the calculated density, the calculation gives 12388 kg/m3. For the calculated formation energy, the calculation gives 0.09 eV/atom. The calculation puts the excess energy over the best structure of this formula in the dataset at 0 meV/atom.

[8]
Material: LiSc2Pt
Method: DFT, PBEsol
State: optimized geometry

a = 7.4184 Å, b = 7.4184 Å, c = 5.7911 Å
α = 90.00°, β = 90.00°, γ = 90.00°
Closest atoms and distances in Å follow each position.
Space group I-42d (No. 122)
Inequivalent atoms, fractional coordinates:
Li (0.0000, 0.0000, 0.0000)  4 Sc 2.87, 2 Pt 2.90
Sc (0.2205, 0.2500, 0.6250)  2 Pt 2.58, 2 Li 2.87
Pt (0.0000, 0.0000, 0.5000)  4 Sc 2.58

Computed properties:
The magnetization comes out at 0.74 μB per formula unit. As for the density of states at the Fermi level: 19.42 states/eV per cell. The total energy comes out at -5.796 eV/atom. Its crystal system is tetragonal. For the calculated density, the calculation gives 6084 kg/m3. For the calculated formation energy, the calculation gives -0.26 eV/atom. The calculation puts the excess energy over the best structure of this formula in the dataset at 463 meV/atom.

[9]
Material: Mg2TiGeRu
Method: DFT, PBEsol
State: optimized geometry

a = 5.2547 Å, b = 5.2547 Å, c = 4.2445 Å
α = 90.00°, β = 90.00°, γ = 90.00°
Closest atoms and distances in Å follow each position.
Space group P4/mmm (No. 123)
Inequivalent atoms, fractional coordinates:
Mg (0.0000, 0.5000, 0.0000)  2 Ti 2.63
Ti (0.0000, 0.0000, 0.0000)  2 Ru 2.12
Ge (0.5000, 0.5000, 0.5000)  8 Mg 3.38, 4 Ru 3.72
Ru (0.0000, 0.0000, 0.5000)  2 Ti 2.12

Computed properties:
The magnetization comes out at 0.00 μB per formula unit. As for the density of states at the Fermi level: 4.40 states/eV per cell. The total energy comes out at -4.391 eV/atom. Its crystal system is tetragonal. For the calculated density, the calculation gives 3828 kg/m3. For the calculated formation energy, the calculation gives 0.98 eV/atom.

[10]
Material: TaSbI2Br
Method: DFT, PBEsol
State: optimized geometry

a = 5.5501 Å, b = 5.5501 Å, c = 5.4875 Å
α = 90.00°, β = 90.00°, γ = 90.00°
Closest atoms and distances in Å follow each position.
Space group P4/mmm (No. 123)
Inequivalent atoms, fractional coordinates:
Ta (0.0000, 0.0000, 0.0000)  8 I 3.90, 4 Sb 3.92
Sb (0.5000, 0.5000, 0.0000)  2 Br 2.74
I (0.0000, 0.5000, 0.5000)  2 Br 2.78
Br (0.5000, 0.5000, 0.5000)  2 Sb 2.74, 4 I 2.78

Computed properties:
The magnetization comes out at 2.41 μB per formula unit. The value obtained for the formation energy without anion corrections is 1.6203 eV per atom. As for the density of states at the Fermi level: 6.32 states/eV per cell. The total energy comes out at -2.882 eV/atom. Its crystal system is tetragonal. For the calculated density, the calculation gives 6252 kg/m3.

The highest total energy belongs to which entry?
TaSbI2Br